DFT (PBE) results for crystalline Ca2ZnAg2 at its relaxed geometry.

Energy above the lowest structure with this stoichiometry   117 meV per atom
Electronic total energy   -11.62 eV for the cell shown
Calculated density   4.7 Mg/m³
Density of states at the Fermi level   2.37 states/eV/f.u.
ΔE_f   -128 meV per atom

The structure in POSCAR format:
```
Ca2ZnAg2
1.0
-2.317 2.789 -1.333
-1.904 -2.600 -2.131
-7.548 -1.292 4.820
Ag Ca Zn
2 2 1
Direct
0.250 0.750 0.500 Ag
0.750 0.250 0.500 Ag
0.397 0.397 0.205 Ca
0.603 0.603 0.795 Ca
0.000 0.000 0.000 Zn
```